No. 1
# GGA-PBE Na3Cd2Ag6, relaxed
data_Na3Cd2Ag6
_chemical_formula_sum 'Na12 Cd8 Ag24'
_cell_length_a 9.975
_cell_length_b 9.975
_cell_length_c 9.975
_cell_angle_alpha 90.00
_cell_angle_beta 90.00
_cell_angle_gamma 90.00
_space_group_name_H-M_alt 'I m -3 m'
_space_group_IT_number 229
_space_group_name_Hall '-I 4 2 3'
loop_
_atom_site_label
_atom_site_type_symbol
_atom_site_fract_x
_atom_site_fract_y
_atom_site_fract_z
Na1 Na 0.000 0.000 0.271
Cd1 Cd 0.250 0.250 0.250
Ag1 Ag 0.000 0.349 0.349
# **Formation energy**: -0.064 eV/atom

No. 2
# GGA-PBE Sm2YGa6, relaxed
data_Sm2YGa6
_chemical_formula_sum 'Sm2 Y1 Ga6'
_cell_length_a 7.3376
_cell_length_b 7.3376
_cell_length_c 4.2038
_cell_angle_alpha 90.00
_cell_angle_beta 90.00
_cell_angle_gamma 120.00
_space_group_name_H-M_alt 'P 6/m m m'
_space_group_IT_number 191
_space_group_name_Hall '-P 6 2'
loop_
_atom_site_label
_atom_site_type_symbol
_atom_site_fract_x
_atom_site_fract_y
_atom_site_fract_z
Sm1 Sm 0.3333 0.6667 0.0000
Y1 Y 0.0000 0.0000 0.0000
Ga1 Ga 0.0000 0.3327 0.5000
# **Formation energy**: -0.670 eV/atom
# **Energy above the most stable polymorph in this dataset**: 0 meV/atom

No. 3
# GGA-PBE DyY2Tm4, relaxed
data_DyY2Tm4
_chemical_formula_sum 'Dy2 Y4 Tm8'
_cell_length_a 6.198
_cell_length_b 3.579
_cell_length_c 19.740
_cell_angle_alpha 90.00
_cell_angle_beta 95.99
_cell_angle_gamma 90.00
_space_group_name_H-M_alt 'C 1 m 1'
_space_group_IT_number 8
loop_
_space_group_symop_operation_xyz
'x,y,z'
'x,-y,z'
'x+1/2,y+1/2,z'
'x+1/2,-y+1/2,z'
loop_
_atom_site_label
_atom_site_type_symbol
_atom_site_fract_x
_atom_site_fract_y
_atom_site_fract_z
Dy1 Dy 0.000 0.000 0.000
Y1 Y 0.095 0.000 0.287
Y2 Y 0.190 0.000 0.574
Tm1 Tm 0.286 0.000 0.858
Tm2 Tm 0.309 0.500 0.431
Tm3 Tm 0.381 0.000 0.142
Tm4 Tm 0.405 0.500 0.718
# **Formation energy**: 0.003 eV/atom
# **Energy above the most stable polymorph in this dataset**: 0 meV/atom

No. 4
# GGA-PBE BaAcU2O8, relaxed
data_BaAcU2O8
_chemical_formula_sum 'Ba2 Ac2 U4 O16'
_cell_length_a 5.778
_cell_length_b 5.778
_cell_length_c 11.224
_cell_angle_alpha 90.00
_cell_angle_beta 90.00
_cell_angle_gamma 90.00
_space_group_name_H-M_alt 'I -4'
_space_group_IT_number 82
loop_
_space_group_symop_operation_xyz
'x,y,z'
'y,-x,-z'
'-x,-y,z'
'-y,x,-z'
'x+1/2,y+1/2,z+1/2'
'y+1/2,-x+1/2,-z+1/2'
'-x+1/2,-y+1/2,z+1/2'
'-y+1/2,x+1/2,-z+1/2'
loop_
_atom_site_label
_atom_site_type_symbol
_atom_site_fract_x
_atom_site_fract_y
_atom_site_fract_z
Ba1 Ba 0.000 0.000 0.000
Ac1 Ac 0.000 0.500 0.250
U1 U 0.000 0.000 0.500
U2 U 0.000 0.500 0.750
O1 O 0.202 0.219 0.394
O2 O 0.210 0.279 0.649
# **Formation energy without anion corrections**: -3.146 eV/atom

No. 5
# GGA-PBE Sc2InTe, relaxed
data_Sc2InTe
_chemical_formula_sum 'Sc6 In3 Te3'
_cell_length_a 3.7471
_cell_length_b 3.7471
_cell_length_c 28.9618
_cell_angle_alpha 90.00
_cell_angle_beta 90.00
_cell_angle_gamma 120.00
_space_group_name_H-M_alt 'R -3 m'
_space_group_IT_number 166
_space_group_name_Hall '-R 3 2"'
loop_
_atom_site_label
_atom_site_type_symbol
_atom_site_fract_x
_atom_site_fract_y
_atom_site_fract_z
Sc1 Sc 0.0000 0.0000 0.1020
In1 In 0.0000 0.0000 0.0000
Te1 Te 0.0000 0.0000 0.5000
# **Energy above the most stable polymorph in this dataset**: 433 meV/atom
# **Formation energy without anion corrections**: -0.254 eV/atom

No. 6
# GGA-PBE Sb2Se2Br, relaxed
data_Sb2Se2Br
_chemical_formula_sum 'Sb4 Se4 Br2'
_cell_length_a 5.081
_cell_length_b 5.081
_cell_length_c 11.482
_cell_angle_alpha 90.00
_cell_angle_beta 90.00
_cell_angle_gamma 90.00
_space_group_name_H-M_alt 'I 4/m m m'
_space_group_IT_number 139
_space_group_name_Hall '-I 4 2'
loop_
_atom_site_label
_atom_site_type_symbol
_atom_site_fract_x
_atom_site_fract_y
_atom_site_fract_z
Sb1 Sb 0.000 0.000 0.145
Se1 Se 0.000 0.500 0.250
Br1 Br 0.000 0.000 0.500
# **Energy above the most stable polymorph in this dataset**: 99 meV/atom
# **Formation energy without anion corrections**: -0.161 eV/atom

No. 7
# GGA-PBE Pr4SiSnTe2, relaxed
data_Pr4SiSnTe2
_chemical_formula_sum 'Pr4 Si1 Sn1 Te2'
_cell_length_a 7.781
_cell_length_b 4.466
_cell_length_c 7.863
_cell_angle_alpha 90.00
_cell_angle_beta 109.06
_cell_angle_gamma 90.00
_space_group_name_H-M_alt 'P 1 2/m 1'
_space_group_IT_number 10
loop_
_space_group_symop_operation_xyz
'x,y,z'
'-x,-y,-z'
'-x,y,-z'
'x,-y,z'
loop_
_atom_site_label
_atom_site_type_symbol
_atom_site_fract_x
_atom_site_fract_y
_atom_site_fract_z
Pr1 Pr 0.233 0.000 0.228
Pr2 Pr 0.245 0.500 0.764
Si1 Si 0.000 0.500 0.000
Sn1 Sn 0.500 0.000 0.000
Te1 Te 0.000 0.000 0.500
Te2 Te 0.500 0.500 0.500
# **Formation energy without anion corrections**: -1.109 eV/atom

No. 8
# GGA-PBE BeHg2Mo, relaxed
data_BeHg2Mo
_chemical_formula_sum 'Be2 Hg4 Mo2'
_cell_length_a 4.076
_cell_length_b 4.084
_cell_length_c 7.996
_cell_angle_alpha 90.00
_cell_angle_beta 90.00
_cell_angle_gamma 90.00
_space_group_name_H-M_alt 'C m m m'
_space_group_IT_number 65
_space_group_name_Hall '-C 2 2'
loop_
_atom_site_label
_atom_site_type_symbol
_atom_site_fract_x
_atom_site_fract_y
_atom_site_fract_z
Be1 Be 0.000 0.000 0.000
Hg1 Hg 0.000 0.500 0.223
Mo1 Mo 0.000 0.000 0.500
# **Formation energy**: 0.623 eV/atom

No. 9
# GGA-PBE NaSr2Rh, relaxed
data_NaSr2Rh
_chemical_formula_sum 'Na4 Sr8 Rh4'
_cell_length_a 7.741
_cell_length_b 7.741
_cell_length_c 7.741
_cell_angle_alpha 90.00
_cell_angle_beta 90.00
_cell_angle_gamma 90.00
_space_group_name_H-M_alt 'F m -3 m'
_space_group_IT_number 225
_space_group_name_Hall '-F 4 2 3'
loop_
_atom_site_label
_atom_site_type_symbol
_atom_site_fract_x
_atom_site_fract_y
_atom_site_fract_z
Na1 Na 0.000 0.000 0.000
Sr1 Sr 0.250 0.250 0.250
Rh1 Rh 0.000 0.000 0.500
# **Formation energy**: -0.032 eV/atom
# **Energy above the most stable polymorph in this dataset**: 117 meV/atom

No. 10
# GGA-PBE NdP2Rh5Pb, relaxed
data_NdP2Rh5Pb
_chemical_formula_sum 'Nd1 P2 Rh5 Pb1'
_cell_length_a 4.097
_cell_length_b 4.097
_cell_length_c 10.251
_cell_angle_alpha 90.00
_cell_angle_beta 90.00
_cell_angle_gamma 90.00
_space_group_name_H-M_alt 'P 4/m m m'
_space_group_IT_number 123
_space_group_name_Hall '-P 4 2'
loop_
_atom_site_label
_atom_site_type_symbol
_atom_site_fract_x
_atom_site_fract_y
_atom_site_fract_z
Nd1 Nd 0.000 0.000 0.000
P1 P 0.500 0.500 0.220
Rh1 Rh 0.000 0.500 0.315
Rh2 Rh 0.500 0.500 0.000
Pb1 Pb 0.000 0.000 0.500
# **Formation energy**: -0.601 eV/atom

No. 11
# GGA-PBE LaSbAu2, relaxed
data_LaSbAu2
_chemical_formula_sum 'La1 Sb1 Au2'
_cell_length_a 4.044
_cell_length_b 4.627
_cell_length_c 5.669
_cell_angle_alpha 90.00
_cell_angle_beta 95.12
_cell_angle_gamma 90.00
_space_group_name_H-M_alt 'P 1 m 1'
_space_group_IT_number 6
loop_
_space_group_symop_operation_xyz
'x,y,z'
'x,-y,z'
loop_
_atom_site_label
_atom_site_type_symbol
_atom_site_fract_x
_atom_site_fract_y
_atom_site_fract_z
La1 La 0.000 0.000 0.000
Sb1 Sb 0.613 0.500 0.280
Au1 Au 0.450 0.500 0.791
Au2 Au 0.469 0.000 0.519
# **Formation energy without anion corrections**: -0.583 eV/atom

No. 12
# GGA-PBE MgMn2Tc, relaxed
data_MgMn2Tc
_chemical_formula_sum 'Mg1 Mn2 Tc1'
_cell_length_a 2.982
_cell_length_b 2.982
_cell_length_c 6.676
_cell_angle_alpha 90.00
_cell_angle_beta 90.00
_cell_angle_gamma 90.00
_space_group_name_H-M_alt 'P 4 m m'
_space_group_IT_number 99
loop_
_space_group_symop_operation_xyz
'x,y,z'
'-y,x,z'
'-x,-y,z'
'y,-x,z'
'-x,y,z'
'y,x,z'
'x,-y,z'
'-y,-x,z'
loop_
_atom_site_label
_atom_site_type_symbol
_atom_site_fract_x
_atom_site_fract_y
_atom_site_fract_z
Mg1 Mg 0.000 0.000 0.000
Mn1 Mn 0.000 0.000 0.519
Mn2 Mn 0.500 0.500 0.292
Tc1 Tc 0.500 0.500 0.711
# **Formation energy**: 0.185 eV/atom

No. 13
# GGA-PBE SmHfHg, relaxed
data_SmHfHg
_chemical_formula_sum 'Sm2 Hf2 Hg2'
_cell_length_a 3.902
_cell_length_b 3.902
_cell_length_c 10.204
_cell_angle_alpha 90.00
_cell_angle_beta 90.00
_cell_angle_gamma 90.00
_space_group_name_H-M_alt 'P 4/n m m'
_space_group_IT_number 129
loop_
_space_group_symop_operation_xyz
'x,y,z'
'-x,-y,-z'
'-y+1/2,x,z'
'y+1/2,-x,-z'
'-x+1/2,-y+1/2,z'
'x+1/2,y+1/2,-z'
'y,-x+1/2,z'
'-y,x+1/2,-z'
'x+1/2,-y,-z'
'-x+1/2,y,z'
'-y,-x,-z'
'y,x,z'
'-x,y+1/2,-z'
'x,-y+1/2,z'
'y+1/2,x+1/2,-z'
'-y+1/2,-x+1/2,z'
loop_
_atom_site_label
_atom_site_type_symbol
_atom_site_fract_x
_atom_site_fract_y
_atom_site_fract_z
Sm1 Sm 0.250 0.250 0.244
Hf1 Hf 0.250 0.250 0.562
Hg1 Hg 0.250 0.250 0.915
# **Formation energy**: -0.115 eV/atom

No. 14
# GGA-PBE NpP2Rh, relaxed
data_NpP2Rh
_chemical_formula_sum 'Np4 P8 Rh4'
_cell_length_a 3.849
_cell_length_b 3.849
_cell_length_c 18.474
_cell_angle_alpha 90.00
_cell_angle_beta 90.00
_cell_angle_gamma 90.00
_space_group_name_H-M_alt 'I 4/m m m'
_space_group_IT_number 139
_space_group_name_Hall '-I 4 2'
loop_
_atom_site_label
_atom_site_type_symbol
_atom_site_fract_x
_atom_site_fract_y
_atom_site_fract_z
Np1 Np 0.000 0.000 0.109
P1 P 0.000 0.000 0.328
P2 P 0.000 0.500 0.000
Rh1 Rh 0.000 0.500 0.250
# **Formation energy**: -0.747 eV/atom
# **Energy above the most stable polymorph in this dataset**: 42 meV/atom

No. 15
# GGA-PBE Ag5Br3F12, relaxed
data_Ag5Br3F12
_chemical_formula_sum 'Ag40 Br24 F96'
_cell_length_a 13.911
_cell_length_b 13.911
_cell_length_c 13.911
_cell_angle_alpha 90.00
_cell_angle_beta 90.00
_cell_angle_gamma 90.00
_space_group_name_H-M_alt 'I a -3 d'
_space_group_IT_number 230
_space_group_name_Hall '-I 4bd 2c 3'
loop_
_atom_site_label
_atom_site_type_symbol
_atom_site_fract_x
_atom_site_fract_y
_atom_site_fract_z
Ag1 Ag 0.000 0.000 0.000
Ag2 Ag 0.000 0.250 0.375
Br1 Br 0.000 0.250 0.125
F1 F 0.030 0.074 0.342
# **Formation energy without anion corrections**: -0.781 eV/atom

No. 16
# GGA-PBE Y4ReTe, relaxed
data_Y4ReTe
_chemical_formula_sum 'Y16 Re4 Te4'
_cell_length_a 8.568
_cell_length_b 8.568
_cell_length_c 8.568
_cell_angle_alpha 90.00
_cell_angle_beta 90.00
_cell_angle_gamma 90.00
_space_group_name_H-M_alt 'F -4 3 m'
_space_group_IT_number 216
_space_group_name_Hall 'F -4 2 3'
loop_
_atom_site_label
_atom_site_type_symbol
_atom_site_fract_x
_atom_site_fract_y
_atom_site_fract_z
Y1 Y 0.123 0.123 0.123
Re1 Re 0.250 0.250 0.750
Te1 Te 0.000 0.000 0.500
# **Formation energy without anion corrections**: 0.729 eV/atom

No. 17
# GGA-PBE NdCd9Rh3, relaxed
data_NdCd9Rh3
_chemical_formula_sum 'Nd2 Cd18 Rh6'
_cell_length_a 5.772
_cell_length_b 13.458
_cell_length_c 7.449
_cell_angle_alpha 90.00
_cell_angle_beta 112.46
_cell_angle_gamma 90.00
_space_group_name_H-M_alt 'C 1 2/m 1'
_space_group_IT_number 12
loop_
_space_group_symop_operation_xyz
'x,y,z'
'-x,-y,-z'
'-x,y,-z'
'x,-y,z'
'x+1/2,y+1/2,z'
'-x+1/2,-y+1/2,-z'
'-x+1/2,y+1/2,-z'
'x+1/2,-y+1/2,z'
loop_
_atom_site_label
_atom_site_type_symbol
_atom_site_fract_x
_atom_site_fract_y
_atom_site_fract_z
Nd1 Nd 0.000 0.000 0.000
Cd1 Cd 0.000 0.500 0.500
Cd2 Cd 0.111 0.389 0.214
Cd3 Cd 0.150 0.174 0.329
Rh1 Rh 0.000 0.000 0.500
Rh2 Rh 0.250 0.250 0.000
# **Formation energy**: -0.199 eV/atom

No. 18
# GGA-PBE Ag3TeF7, relaxed
data_Ag3TeF7
_chemical_formula_sum 'Ag12 Te4 F28'
_cell_length_a 7.729
_cell_length_b 10.993
_cell_length_c 9.188
_cell_angle_alpha 90.00
_cell_angle_beta 90.00
_cell_angle_gamma 90.00
_space_group_name_H-M_alt 'C m c 21'
_space_group_IT_number 36
loop_
_space_group_symop_operation_xyz
'x,y,z'
'-x,-y,z+1/2'
'-x,y,z'
'x,-y,z+1/2'
'x+1/2,y+1/2,z'
'-x+1/2,-y+1/2,z+1/2'
'-x+1/2,y+1/2,z'
'x+1/2,-y+1/2,z+1/2'
loop_
_atom_site_label
_atom_site_type_symbol
_atom_site_fract_x
_atom_site_fract_y
_atom_site_fract_z
Ag1 Ag 0.000 0.042 0.000
Ag2 Ag 0.232 0.213 0.298
Te1 Te 0.000 0.463 0.004
F1 F 0.000 0.090 0.268
F2 F 0.000 0.241 0.881
F3 F 0.000 0.451 0.687
F4 F 0.184 0.408 0.460
F5 F 0.193 0.372 0.106
# **Formation energy without anion corrections**: -1.492 eV/atom

No. 19
# GGA-PBE Ac3Nd2Ho, relaxed
data_Ac3Nd2Ho
_chemical_formula_sum 'Ac6 Nd4 Ho2'
_cell_length_a 6.6585
_cell_length_b 6.6585
_cell_length_c 12.2540
_cell_angle_alpha 90.00
_cell_angle_beta 90.00
_cell_angle_gamma 120.00
_space_group_name_H-M_alt 'P 63/m c m'
_space_group_IT_number 193
_space_group_name_Hall '-P 6c 2'
loop_
_atom_site_label
_atom_site_type_symbol
_atom_site_fract_x
_atom_site_fract_y
_atom_site_fract_z
Ac1 Ac 0.0000 0.3314 0.2500
Nd1 Nd 0.3333 0.6667 0.0000
Ho1 Ho 0.0000 0.0000 0.0000
# **Formation energy**: 0.056 eV/atom

No. 20
# GGA-PBE Li2ErCu, relaxed
data_Li2ErCu
_chemical_formula_sum 'Li6 Er3 Cu3'
_cell_length_a 3.0793
_cell_length_b 3.0793
_cell_length_c 30.0946
_cell_angle_alpha 90.00
_cell_angle_beta 90.00
_cell_angle_gamma 120.00
_space_group_name_H-M_alt 'R -3 m'
_space_group_IT_number 166
_space_group_name_Hall '-R 3 2"'
loop_
_atom_site_label
_atom_site_type_symbol
_atom_site_fract_x
_atom_site_fract_y
_atom_site_fract_z
Li1 Li 0.0000 0.0000 0.1014
Er1 Er 0.0000 0.0000 0.0000
Cu1 Cu 0.0000 0.0000 0.5000
# **Formation energy**: 0.291 eV/atom

| no. | total moment (μB per formula unit) |
| --- | --- |
| 1 | 0.0 |
| 2 | 0.0 |
| 3 | 0.1 |
| 4 | 1.0 |
| 5 | 0.0 |
| 6 | 0.0 |
| 7 | 0.0 |
| 8 | 0.0 |
| 9 | 0.0 |
| 10 | 0.0 |
| 11 | 0.0 |
| 12 | 4.8 |
| 13 | 0.0 |
| 14 | 3.5 |
| 15 | 2.0 |
| 16 | 0.7 |
| 17 | 0.0 |
| 18 | 0.0 |
| 19 | 0.0 |
| 20 | 0.0 |